Computed, not measured: a geometry-optimized CoNiPt structure at the PBE level of DFT.

It has space group I4mm (No. 107), with a = 2.6677 Å, b = 2.6677 Å, c = 10.7147 Å, α = 90.00°, β = 90.00° and γ = 90.00°. Symmetry generates all atoms from Co at (0.0000, 0.0000, 0.0000), Ni at (0.0000, 0.0000, 0.3500) and Pt at (0.0000, 0.0000, 0.6724).

The volume comes out at 76.3 Å³ per cell. The total magnetization comes out at 5.57 Bohr magnetons per cell. Its formation energy from the elements is -51 meV per atom. Its distance to the lowest polymorph of the same formula is 0.0347 eV per atom.